No. 1
Material: CdRh3Pb
Method: DFT, PBE-GGA
State: optimized geometry

Formation energy   1.16 eV per atom
Offset from the most stable computed form   0 meV/atom

Geometry as extended XYZ:
```
5
Lattice="4.967 0.000 0.000 0.000 4.967 0.000 0.000 0.000 4.967" Properties=species:S:1:pos:R:3 pbc="T T T"
Pb 0.000 0.000 0.000
Rh 0.000 2.484 0.000
Rh 0.000 0.000 2.484
Rh 2.484 0.000 0.000
Cd 2.484 2.484 2.484
```

No. 2
Material: Cd2RhPb
Method: DFT, PBE-GGA
State: optimized geometry

Formation energy   0.01 eV per atom

Geometry as extended XYZ:
```
4
Lattice="-2.277 -1.739 -1.574 2.293 -1.806 -1.321 -0.438 -5.304 6.493" Properties=species:S:1:pos:R:3 pbc="T T T"
Cd -0.421 -5.097 6.240
Cd -0.092 -2.987 0.038
Rh -0.325 -5.805 3.489
Pb -0.241 -2.916 3.570
```

No. 3
Material: Cd2RhPb
Method: DFT, PBE-GGA
State: optimized geometry

Formation energy   -0.08 eV per atom

Geometry as extended XYZ:
```
8
Lattice="3.960 -0.003 0.000 -1.984 4.877 0.000 0.000 0.000 8.980" Properties=species:S:1:pos:R:3 pbc="T T T"
Cd -0.001 3.453 4.943
Cd 1.977 1.420 4.037
Cd -0.001 3.453 8.527
Cd 1.977 1.420 0.453
Rh 1.979 2.491 6.735
Rh -0.003 2.383 2.245
Pb 1.977 4.390 2.245
Pb 0.000 0.483 6.735
```

No. 4
Material: CdRhPb2
Method: DFT, PBE-GGA
State: optimized geometry

Formation energy   0.21 eV per atom

Geometry as extended XYZ:
```
4
Lattice="1.771 3.025 4.459 -2.939 4.783 0.810 -1.405 -5.436 -0.806" Properties=species:S:1:pos:R:3 pbc="T T T"
Cd -0.109 0.746 3.144
Rh -0.584 3.904 2.635
Pb 0.000 0.000 0.000
Pb -2.464 1.626 1.319
```

Calculated total energy for every record listed, in sequence, given in eV per atom: -4.177 -3.217 -3.307 -3.715.